{
  "formula": "AlHgBr2",
  "functional": "PBE",
  "state": "optimized geometry",
  "polymorph_energy_ev_per_atom": 0.621,
  "e_form_raw_ev_per_atom": 0.10,
  "sg": "F-43m (216)",
  "lattice_angstrom": [[5.312, 0.000, 0.000], [2.656, 4.600, 0.000], [2.656, 1.533, 4.337]],
  "species": ["Br", "Al", "Br", "Hg"],
  "fractional_positions": [[0.250, 0.250, 0.250], [0.500, 0.500, 0.500], [0.000, 0.000, 0.000], [0.750, 0.750, 0.750]]
}